No. 1
Material: Re2GeW
Method: DFT, PBE
State: optimized geometry

Computed properties:
The formation energy is 0.43 eV/atom. For the calculated volume, the calculation gives 67.8 Å³ per cell. As for the density of states at the Fermi level: 1.9 states/eV per cell.

Lattice parameters (Å, degrees): 4.2502 4.2502 4.9808 64.74 64.74 60.00
Positions (direct):
1 Re 0.2610 0.2610 0.2171
2 Re 0.0742 0.0742 0.7773
3 Ge 0.6818 0.6818 0.9545
4 W 0.4830 0.4830 0.5511

---

No. 2
Material: ReGeW
Method: DFT, PBE
State: optimized geometry

Computed properties:
The formation energy is 0.19 eV/atom. For the calculated volume, the calculation gives 46.3 Å³ per cell. As for the density of states at the Fermi level: 1.8 states/eV per cell.

Lattice parameters (Å, degrees): 2.8706 4.3169 4.3169 120.00 90.00 90.00
Positions (direct):
1 W 0.6667 0.6667 0.3333
2 Re 0.1673 0.3333 0.6667
3 Ge 0.1660 0.0000 0.0000